DFT (GGA-PBE) results for BaCoRe2 after structural relaxation.

Properties
offset from the most stable computed form	3.972	eV per formula unit
total energy	-27.97	eV per formula unit
D(E_F)	1.209	states/eV/atom

The structure in CIF format:
```
data_BaCoRe2
_symmetry_space_group_name_H-M 'P 4/m m m'
_symmetry_Int_Tables_number 123
_symmetry_space_group_name_Hall '-P 4 2'
_cell_length_a 3.764
_cell_length_b 3.764
_cell_length_c 5.458
_cell_angle_alpha 90.00
_cell_angle_beta 90.00
_cell_angle_gamma 90.00
loop_
_atom_site_label
_atom_site_fract_x
_atom_site_fract_y
_atom_site_fract_z
Ba1 0.000 0.000 0.000
Co1 0.500 0.500 0.000
Re1 0.000 0.500 0.500
```

=====

DFT (GGA-PBE) results for Li2MgB after structural relaxation.

Properties
offset from the most stable computed form	0.000	eV per formula unit
total energy	-10.49	eV per formula unit
D(E_F)	0.349	states/eV/atom

The structure in CIF format:
```
data_Li2MgB
_symmetry_space_group_name_H-M 'F m -3 m'
_symmetry_Int_Tables_number 225
_symmetry_space_group_name_Hall '-F 4 2 3'
_cell_length_a 5.794
_cell_length_b 5.794
_cell_length_c 5.794
_cell_angle_alpha 90.00
_cell_angle_beta 90.00
_cell_angle_gamma 90.00
loop_
_atom_site_label
_atom_site_fract_x
_atom_site_fract_y
_atom_site_fract_z
Li1 0.250 0.250 0.250
Mg1 0.000 0.000 0.000
B1 0.000 0.000 0.500
```

=====

DFT (GGA-PBE) results for Pr2SmPu after structural relaxation.

Properties
offset from the most stable computed form	0.145	eV per formula unit
total energy	-27.98	eV per formula unit
D(E_F)	4.046	states/eV/atom

The structure in CIF format:
```
data_Pr2SmPu
_symmetry_space_group_name_H-M 'P 4/m m m'
_symmetry_Int_Tables_number 123
_symmetry_space_group_name_Hall '-P 4 2'
_cell_length_a 5.115
_cell_length_b 5.115
_cell_length_c 5.090
_cell_angle_alpha 90.00
_cell_angle_beta 90.00
_cell_angle_gamma 90.00
loop_
_atom_site_label
_atom_site_fract_x
_atom_site_fract_y
_atom_site_fract_z
Pr1 0.000 0.500 0.000
Sm1 0.000 0.000 0.500
Pu1 0.500 0.500 0.500
```

=====

no.,energy relative to the elements (eV/atom)
1,1.49
2,0.40
3,0.16